DFT (PBE+U) results for a relaxed Li3Fe3P4O16 crystal.

Unit cell a=8.4477 b=8.8553 c=13.7336 alpha=96.85 beta=89.93 gamma=90.05
Site moments in Bohr magnetons follow the coordinates.
Atoms (fractional coordinates):
P 0.1992 0.1848 0.4014  0.02
P 0.6989 0.3120 0.6021  0.01
P 0.2871 0.3484 0.0657  0.01
P 0.7956 0.4719 0.2696  0.01
P 0.7090 0.6392 0.9323  0.01
P 0.7890 0.8177 0.6016  0.01
P 0.8071 0.1498 0.9371  0.01
P 0.2964 0.6968 0.3974  0.01
P 0.3019 0.0194 0.7301  0.01
P 0.2140 0.5198 0.7327  0.01
P 0.2063 0.8517 0.0703  0.01
P 0.7017 0.9830 0.2652  0.02
O 0.8605 0.3171 0.5450  0.12
O 0.2280 0.1329 0.2922  0.11
O 0.9283 0.2491 0.8866  0.10
O 0.8582 0.9822 0.2028  0.12
O 0.8419 0.6496 0.5759  0.11
O 0.4229 0.9131 0.7824  0.14
O 0.1412 0.6825 0.4515  0.00
O 0.3666 0.8539 0.4100  0.01
O 0.8662 0.3151 0.2571  0.00
O 0.7300 0.0345 0.3740  0.11
O 0.0943 0.4076 0.7700  0.09
O 0.2359 0.4801 0.6218  0.11
O 0.8590 0.6518 0.8722  -0.03
O 0.6393 0.4815 0.9192  -0.04
O 0.6477 0.1442 0.5717  0.10
O 0.5790 0.4214 0.5513  0.14
O 0.1558 0.3575 0.4201  0.12
O 0.2666 0.3023 0.9557  0.10
O 0.6260 0.8162 0.5466  0.12
O 0.3561 0.1852 0.4632  0.13
O 0.3637 0.8489 0.1294  0.10
O 0.4224 0.5789 0.4390  0.16
O 0.6438 0.1501 0.8792  0.15
O 0.3519 0.1878 0.7588  0.10
O 0.6394 0.4853 0.2165  0.00
O 0.7317 0.6996 0.0426  0.11
O 0.7728 0.8619 0.7129  0.10
O 0.0813 0.7433 0.1133  0.12
O 0.8501 0.9761 0.9100  0.13
O 0.2261 0.7958 0.9607  0.10
O 0.1538 0.0190 0.0906  0.09
O 0.7943 0.1975 0.0455  0.02
O 0.5748 0.0859 0.2258  0.10
O 0.3378 0.5175 0.0909  0.11
O 0.2849 0.6318 0.2855  0.12
O 0.7046 0.3614 0.7104  0.02
O 0.9068 0.9287 0.5603  0.09
O 0.7864 0.5372 0.3814  0.12
O 0.2956 0.9665 0.6220  0.02
O 0.1268 0.3479 0.1242  0.12
O 0.3751 0.5198 0.7900  0.12
O 0.5802 0.7585 0.8955  0.16
O 0.1622 0.6882 0.7600  0.11
O 0.1401 0.0143 0.7869  0.11
O 0.9201 0.5896 0.2260  0.15
O 0.6564 0.8109 0.2462  0.12
O 0.0722 0.0830 0.4413  0.09
O 0.4075 0.2395 0.1068  0.10
Li 0.5353 0.3355 0.8180  0.00
Li 0.9631 0.1744 0.1493  0.00
Li 0.4665 0.9937 0.5168  0.00
Li 0.6383 0.2740 0.1421  0.00
Li 0.1384 0.8971 0.5210  0.00
Li 0.9919 0.8230 0.8293  0.00
Li 0.4913 0.6507 0.1887  0.00
Li 0.9917 0.5175 0.4786  0.00
Li 0.8614 0.4316 0.8101  0.00
Fe 0.1456 0.2345 0.8418  4.33
Fe 0.1448 0.5620 0.1832  4.31
Fe 0.8513 0.0994 0.4872  4.34
Fe 0.3568 0.7340 0.8496  4.33
Fe 0.6468 0.6022 0.4854  4.32
Fe 0.3558 0.0715 0.1817  4.34
Fe 0.3483 0.4059 0.5074  4.32
Fe 0.6550 0.9343 0.8277  4.31
Fe 0.8454 0.7619 0.1558  4.31

Total magnetization in μB per cell: 44.8
VASP energy in eV per cell: -531.5